[1]
DFT (PBE) results for crystalline NpTl2Se3 at its relaxed geometry.

As for the total magnetization: 3.03 μB/f.u. As for the crystal system: orthorhombic. The final energy comes out at -5.384 eV/atom.

It has space group Cmcm (No. 63), with a = 4.228 Å, b = 15.718 Å, c = 12.147 Å, α = 90.00°, β = 90.00° and γ = 90.00°. The inequivalent atoms are Np at (0.000, 0.000, 0.000), Tl at (0.000, 0.348, 0.250), Tl at (0.000, 0.355, 0.750), Se at (0.000, 0.003, 0.750) and Se at (0.000, 0.383, 0.001).

=====

[2]
DFT (PBE) results for crystalline SrLiGdSe3 at its relaxed geometry.

As for the total magnetization: 0.00 μB/f.u. As for the crystal system: orthorhombic. Its energy above the most stable polymorph in this dataset is 12 meV/atom.

It has space group Cmcm (No. 63), with a = 4.187 Å, b = 13.618 Å, c = 10.787 Å, α = 90.00°, β = 90.00° and γ = 90.00°. The inequivalent atoms are Sr at (0.000, 0.250, 0.250), Li at (0.000, 0.024, 0.750), Gd at (0.000, 0.500, 0.000), Se at (0.000, 0.138, 0.567) and Se at (0.000, 0.420, 0.750).

=====

[3]
DFT (PBE) results for crystalline MgPd at its relaxed geometry.

As for the crystal system: cubic. The final energy comes out at -3.681 eV/atom.

It has space group Fm-3m (No. 225), with a = 5.282 Å, b = 5.282 Å, c = 5.282 Å, α = 90.00°, β = 90.00° and γ = 90.00°. The inequivalent atoms are Mg at (0.000, 0.000, 0.000) and Pd at (0.000, 0.000, 0.500).

=====

Please write out number 2 again, unchanged.
DFT (PBE) results for crystalline SrLiGdSe3 at its relaxed geometry.

As for the total magnetization: 0.00 μB/f.u. As for the crystal system: orthorhombic. Its energy above the most stable polymorph in this dataset is 12 meV/atom.

It has space group Cmcm (No. 63), with a = 4.187 Å, b = 13.618 Å, c = 10.787 Å, α = 90.00°, β = 90.00° and γ = 90.00°. The inequivalent atoms are Sr at (0.000, 0.250, 0.250), Li at (0.000, 0.024, 0.750), Gd at (0.000, 0.500, 0.000), Se at (0.000, 0.138, 0.567) and Se at (0.000, 0.420, 0.750).